[1]
## VGeRh2 (PBE-GGA)

Data for a geometry-optimized VGeRh2 structure.

Values from the calculation:
* ΔE_f: -0.367 eV per atom
* calculated total energy: -7.4766 eV per atom
* magnetic moment: 0.00 μB per cell
* V: 56.08 Å³/f.u.

a b c (Å): 2.8271 2.8271 7.0164
angles (deg): 90.00 90.00 90.00
Sites, in units of the cell vectors:
V1 0.0000 0.0000 0.0000
Ge1 0.0000 0.0000 0.5000
Rh1 0.5000 0.5000 0.2588
Rh2 0.5000 0.5000 0.7412



[2]
## RbAcCu2Sb2 (PBE-GGA)

Data for a geometry-optimized RbAcCu2Sb2 structure.

Values from the calculation:
* calculated total energy: -4.1456 eV per atom
* magnetic moment: 0.00 μB per cell
* V: 180.00 Å³/f.u.
* formation energy from raw total energies: -0.56 eV per atom

a b c (Å): 4.5716 4.5716 9.9452
angles (deg): 90.00 90.00 120.00
Sites, in units of the cell vectors:
Rb1 0.0000 0.0000 0.0000
Ac1 0.0000 0.0000 0.5000
Cu1 0.3333 0.6667 0.2902
Cu2 0.6667 0.3333 0.7098
Sb1 0.3333 0.6667 0.7214
Sb2 0.6667 0.3333 0.2786



[3]
## Pr2Zn5Rh (PBE-GGA)

Data for a geometry-optimized Pr2Zn5Rh structure.

Values from the calculation:
* ΔE_f: -0.384 eV per atom
* calculated total energy: -3.2940 eV per atom
* magnetic moment: 0.00 μB per cell
* V: 160.79 Å³/f.u.

a b c (Å): 8.5228 8.5228 9.1215
angles (deg): 90.00 90.00 150.97
Sites, in units of the cell vectors:
Pr1 0.0000 0.0000 0.0000
Pr2 0.0000 0.0000 0.5000
Pr3 0.1875 0.8125 0.7500
Pr4 0.8125 0.1875 0.2500
Zn1 0.1911 0.8089 0.1105
Zn2 0.1911 0.8089 0.3895
Zn3 0.3507 0.6493 0.0181
Zn4 0.3507 0.6493 0.4819
Zn5 0.4002 0.5998 0.7500
Zn6 0.5998 0.4002 0.2500
Zn7 0.6493 0.3507 0.5181
Zn8 0.6493 0.3507 0.9819
Zn9 0.8089 0.1911 0.6105
Zn10 0.8089 0.1911 0.8895
Rh1 0.4447 0.5553 0.2500
Rh2 0.5553 0.4447 0.7500